DFT (PBE) results for a relaxed structure of Ba3U2P2O5.

Cell and atoms, written as CIF:
```
data_Ba3U2P2O5
_cell_length_a 4.463
_cell_length_b 4.463
_cell_length_c 13.365
_cell_angle_alpha 99.61
_cell_angle_beta 99.61
_cell_angle_gamma 90.00
_space_group_name_H-M_alt 'P 1'
_space_group_IT_number 1
_space_group_name_Hall 'P 1'
loop_
_atom_site_label
_atom_site_type_symbol
_atom_site_fract_x
_atom_site_fract_y
_atom_site_fract_z
O1 O 0.577 0.077 0.154
O2 O 0.423 0.923 0.846
O3 O 0.500 0.500 0.000
O4 O 0.077 0.577 0.154
O5 O 0.923 0.423 0.846
Ba1 Ba 0.186 0.186 0.373
Ba2 Ba 0.814 0.814 0.627
Ba3 Ba 0.000 0.000 0.000
P1 P 0.686 0.686 0.371
P2 P 0.314 0.314 0.629
U1 U 0.416 0.416 0.832
U2 U 0.584 0.584 0.168
```

Computed properties:
raw formation energy	-2.43	eV per atom
space-group type	I4/mmm, No. 139